# 1
A plane-wave DFT calculation with GGA-PBE was carried out for a geometry-optimized AcSc2Al structure.

Cell lengths 5.2669, 5.2669, 5.2669 Å; angles 60.00, 60.00, 60.00 degrees
Closest atoms and distances in Å follow each position.
Sites, in units of the cell vectors:
Ac (0.0000, 0.0000, 0.0000)  8 Sc 3.23
Sc (0.2500, 0.2500, 0.2500)  4 Ac 3.23, 4 Al 3.23
Sc (0.7500, 0.7500, 0.7500)  4 Al 3.23, 4 Ac 3.23
Al (0.5000, 0.5000, 0.5000)  8 Sc 3.23

Properties
ρ: 5.5 g cm⁻³
Energy above the most stable polymorph in this dataset: 0.1991 eV/atom
DFT total energy: -20.22 eV for the cell shown
N(E_F): 7.160 states/eV/f.u.

***

# 2
A plane-wave DFT calculation with GGA-PBE was carried out for a geometry-optimized AcScAl structure.

Cell lengths 7.0278, 7.0278, 7.0278 Å; angles 150.35, 150.35, 42.43 degrees
Closest atoms and distances in Å follow each position.
Sites, in units of the cell vectors:
Ac (0.0000, 0.0000, 0.0000)  4 Al 3.45, 4 Ac 3.60, 5 Sc 3.71-3.85
Sc (0.2935, 0.2935, 0.0000)  4 Al 2.96
Al (0.6776, 0.6776, 0.0000)  4 Sc 2.96

Properties
ρ: 5.9 g cm⁻³
Energy above the most stable polymorph in this dataset: 0.0000 eV/atom
DFT total energy: -14.53 eV for the cell shown
N(E_F): 1.912 states/eV/f.u.

***

# 3
A plane-wave DFT calculation with GGA-PBE was carried out for a geometry-optimized Ac3ScAl8 structure.

Cell lengths 10.0709, 10.0709, 10.0709 Å; angles 33.39, 33.39, 33.39 degrees
Closest atoms and distances in Å follow each position.
Sites, in units of the cell vectors:
Ac (0.0000, 0.0000, 0.0000)  12 Al 3.40-3.47, 4 Ac 3.55-3.59
Ac (0.1259, 0.1259, 0.1259)  12 Al 3.32-3.39, 3 Sc 3.54, 1 Ac 3.59
Ac (0.6241, 0.6241, 0.6241)  12 Al 3.39-3.51, 1 Sc 3.54, 3 Ac 3.55
Sc (0.4998, 0.4998, 0.4998)  12 Al 3.32-3.39, 4 Ac 3.54
Al (0.0605, 0.0605, 0.5589)  6 Al 2.83-2.93
Al (0.0605, 0.5589, 0.0605)  6 Al 2.83-2.93
Al (0.0678, 0.5645, 0.5645)  6 Al 2.86-3.00
Al (0.3114, 0.3114, 0.3114)  6 Al 2.93-3.00
Al (0.5589, 0.0605, 0.0605)  6 Al 2.83-2.93
Al (0.5645, 0.0678, 0.5645)  6 Al 2.86-3.00
Al (0.5645, 0.5645, 0.0678)  6 Al 2.86-3.00
Al (0.8134, 0.8134, 0.8134)  6 Al 2.83-2.86

Properties
ρ: 5.7 g cm⁻³
DFT total energy: -52.66 eV for the cell shown
N(E_F): 7.992 states/eV/f.u.

***

# 4
A plane-wave DFT calculation with GGA-PBE was carried out for a geometry-optimized Ac2ScAl structure.

Cell lengths 4.0539, 4.0539, 7.9235 Å; angles 90.00, 90.00, 90.00 degrees
Closest atoms and distances in Å follow each position.
Sites, in units of the cell vectors:
Ac (0.0000, 0.0000, 0.2327)  4 Al 3.41, 4 Sc 3.56, 1 Ac 3.69
Ac (0.0000, 0.0000, 0.7673)  4 Al 3.41, 4 Sc 3.56, 1 Ac 3.69
Sc (0.5000, 0.5000, 0.5000)  8 Ac 3.56, 2 Al 3.96
Al (0.5000, 0.5000, 0.0000)  8 Ac 3.41

Properties
ρ: 6.7 g cm⁻³
Energy above the most stable polymorph in this dataset: 0.0000 eV/atom
DFT total energy: -18.38 eV for the cell shown
N(E_F): 5.747 states/eV/f.u.

***

# 5
A plane-wave DFT calculation with GGA-PBE was carried out for a geometry-optimized AcScAl structure.

Cell lengths 5.0571, 5.0571, 4.0314 Å; angles 90.00, 90.00, 120.00 degrees
Closest atoms and distances in Å follow each position.
Sites, in units of the cell vectors:
Ac (0.0000, 0.0000, 0.0000)  6 Al 3.55, 6 Sc 3.55
Sc (0.6667, 0.3333, 0.4996)  3 Al 2.92
Al (0.3333, 0.6667, 0.5010)  3 Sc 2.92

Properties
ρ: 5.6 g cm⁻³
Energy above the most stable polymorph in this dataset: 0.0347 eV/atom
DFT total energy: -14.42 eV for the cell shown
N(E_F): 5.291 states/eV/f.u.

***

# 6
A plane-wave DFT calculation with GGA-PBE was carried out for a geometry-optimized AcScAl3 structure.

Cell lengths 13.3051, 13.3051, 4.3827 Å; angles 90.00, 90.00, 160.95 degrees
Closest atoms and distances in Å follow each position.
Sites, in units of the cell vectors:
Ac (0.0783, 0.9217, 0.7500)  12 Al 3.37-3.53
Ac (0.9217, 0.0783, 0.2500)  12 Al 3.37-3.53
Sc (0.2054, 0.7946, 0.2500)  7 Al 2.91-3.16
Sc (0.7946, 0.2054, 0.7500)  7 Al 2.91-3.16
Al (0.3164, 0.6836, 0.2500)  2 Al 2.63, 1 Sc 2.91
Al (0.3721, 0.6279, 0.7500)  3 Al 2.63-2.68
Al (0.4743, 0.5257, 0.7500)  3 Al 2.57-2.68
Al (0.5257, 0.4743, 0.2500)  3 Al 2.57-2.68
Al (0.6279, 0.3721, 0.2500)  3 Al 2.63-2.68
Al (0.6836, 0.3164, 0.7500)  2 Al 2.63, 1 Sc 2.91

Properties
ρ: 4.6 g cm⁻³
DFT total energy: -46.50 eV for the cell shown
N(E_F): 3.835 states/eV/f.u.

***

# 7
A plane-wave DFT calculation with GGA-PBE was carried out for a geometry-optimized AcSc2Al structure.

Cell lengths 6.1293, 6.1293, 6.1293 Å; angles 47.41, 47.41, 47.41 degrees
Closest atoms and distances in Å follow each position.
Sites, in units of the cell vectors:
Ac (0.0000, 0.0000, 0.0000)  8 Sc 3.46-3.47
Sc (0.2130, 0.2130, 0.2130)  3 Al 2.94, 3 Sc 3.22
Sc (0.7870, 0.7870, 0.7870)  3 Al 2.94, 3 Sc 3.22
Al (0.5000, 0.5000, 0.5000)  6 Sc 2.94

Properties
ρ: 5.0 g cm⁻³
Energy above the most stable polymorph in this dataset: 0.1695 eV/atom
DFT total energy: -20.33 eV for the cell shown
N(E_F): 6.173 states/eV/f.u.

***

# 8
A plane-wave DFT calculation with GGA-PBE was carried out for a geometry-optimized Ac2ScAl structure.

Cell lengths 5.1802, 5.1802, 4.7581 Å; angles 90.00, 90.00, 90.00 degrees
Closest atoms and distances in Å follow each position.
Sites, in units of the cell vectors:
Ac (0.0000, 0.5000, 0.0000)  4 Sc 3.52, 4 Al 3.52, 4 Ac 3.66
Ac (0.5000, 0.0000, 0.0000)  4 Sc 3.52, 4 Al 3.52, 4 Ac 3.66
Sc (0.0000, 0.0000, 0.5000)  8 Ac 3.52, 4 Al 3.66
Al (0.5000, 0.5000, 0.5000)  8 Ac 3.52, 4 Sc 3.66

Properties
ρ: 6.8 g cm⁻³
Energy above the most stable polymorph in this dataset: 0.0202 eV/atom
DFT total energy: -18.30 eV for the cell shown
N(E_F): 6.900 states/eV/f.u.

***

# 9
A plane-wave DFT calculation with GGA-PBE was carried out for a geometry-optimized AcSc2Al structure.

Cell lengths 4.7530, 4.7530, 4.7493 Å; angles 90.00, 90.00, 90.00 degrees
Closest atoms and distances in Å follow each position.
Sites, in units of the cell vectors:
Ac (0.0000, 0.0000, 0.0000)  8 Sc 3.36, 4 Al 3.36
Sc (0.0000, 0.5000, 0.5000)  4 Ac 3.36, 4 Al 3.36, 4 Sc 3.36
Sc (0.5000, 0.0000, 0.5000)  4 Ac 3.36, 4 Al 3.36, 4 Sc 3.36
Al (0.5000, 0.5000, 0.0000)  8 Sc 3.36, 4 Ac 3.36

Properties
ρ: 5.3 g cm⁻³
Energy above the most stable polymorph in this dataset: 0.1100 eV/atom
DFT total energy: -20.57 eV for the cell shown
N(E_F): 6.516 states/eV/f.u.

***

# 10
A plane-wave DFT calculation with GGA-PBE was carried out for a geometry-optimized Ac2ScAl structure.

Cell lengths 5.6599, 5.6599, 5.6599 Å; angles 60.00, 60.00, 60.00 degrees
Closest atoms and distances in Å follow each position.
Sites, in units of the cell vectors:
Ac (0.2500, 0.2500, 0.2500)  4 Al 3.47, 4 Sc 3.47
Ac (0.7500, 0.7500, 0.7500)  4 Sc 3.47, 4 Al 3.47
Sc (0.0000, 0.0000, 0.0000)  8 Ac 3.47
Al (0.5000, 0.5000, 0.5000)  8 Ac 3.47

Properties
ρ: 6.8 g cm⁻³
Energy above the most stable polymorph in this dataset: 0.0408 eV/atom
DFT total energy: -18.22 eV for the cell shown
N(E_F): 6.240 states/eV/f.u.

***

# 11
A plane-wave DFT calculation with GGA-PBE was carried out for a geometry-optimized Ac2ScAl structure.

Cell lengths 12.1160, 12.1160, 12.1160 Å; angles 17.36, 17.36, 17.36 degrees
Closest atoms and distances in Å follow each position.
Sites, in units of the cell vectors:
Ac (0.0957, 0.0957, 0.0957)  3 Al 3.30, 1 Sc 3.42, 6 Ac 3.66
Ac (0.9043, 0.9043, 0.9043)  3 Al 3.30, 1 Sc 3.42, 6 Ac 3.66
Sc (0.0000, 0.0000, 0.0000)  2 Ac 3.42, 6 Sc 3.66
Al (0.5000, 0.5000, 0.5000)  6 Ac 3.30, 6 Al 3.66

Properties
ρ: 6.3 g cm⁻³
Energy above the most stable polymorph in this dataset: 0.3665 eV/atom
DFT total energy: -16.91 eV for the cell shown
N(E_F): 6.472 states/eV/f.u.

***

# 12
A plane-wave DFT calculation with GGA-PBE was carried out for a geometry-optimized AcSc2Al structure.

Cell lengths 3.4967, 3.4967, 8.6012 Å; angles 90.00, 90.00, 90.00 degrees
Closest atoms and distances in Å follow each position.
Sites, in units of the cell vectors:
Ac (0.0000, 0.0000, 0.0000)  4 Ac 3.50, 8 Sc 3.61
Sc (0.5000, 0.5000, 0.3058)  4 Al 2.98, 1 Sc 3.34
Sc (0.5000, 0.5000, 0.6942)  4 Al 2.98, 1 Sc 3.34
Al (0.0000, 0.0000, 0.5000)  8 Sc 2.98

Properties
ρ: 5.4 g cm⁻³
Energy above the most stable polymorph in this dataset: 0.0000 eV/atom
DFT total energy: -21.01 eV for the cell shown
N(E_F): 3.414 states/eV/f.u.

***

Number 1: total moment 1.48 Bohr magnetons per cell, ΔH_f (0 K) 0.298 eV per formula unit. Number 2: total moment 0.00 Bohr magnetons per cell, ΔH_f (0 K) -0.346 eV per formula unit. Number 3: total moment 0.00 Bohr magnetons per cell, ΔH_f (0 K) -4.061 eV per formula unit. Number 4: total moment 0.00 Bohr magnetons per cell, ΔH_f (0 K) -0.089 eV per formula unit. Number 5: total moment 0.02 Bohr magnetons per cell, ΔH_f (0 K) -0.242 eV per formula unit. Number 6: total moment 0.00 Bohr magnetons per cell, ΔH_f (0 K) -1.582 eV per formula unit. Number 7: total moment 0.00 Bohr magnetons per cell, ΔH_f (0 K) 0.180 eV per formula unit. Number 8: total moment 0.02 Bohr magnetons per cell, ΔH_f (0 K) -0.008 eV per formula unit. Number 9: total moment 0.81 Bohr magnetons per cell, ΔH_f (0 K) -0.058 eV per formula unit. Number 10: total moment 0.00 Bohr magnetons per cell, ΔH_f (0 K) 0.075 eV per formula unit. Number 11: total moment 0.33 Bohr magnetons per cell, ΔH_f (0 K) 1.377 eV per formula unit. Number 12: total moment 0.00 Bohr magnetons per cell, ΔH_f (0 K) -0.498 eV per formula unit.